Entry 1:
Density functional theory data (GGA-PBE) for a relaxed structure of DyYScRu.

```
DyYScRu
1.0
0.000 3.576 3.576
3.576 0.000 3.576
3.576 3.576 0.000
Dy Y Sc Ru
1 1 1 1
direct
0.000 0.000 0.000
0.500 0.500 0.500
0.750 0.750 0.750
0.250 0.250 0.250
```

Calculated values
E_tot = -6.691 eV/atom
M_tot = 0.00 μB per formula unit
crystal system = cubic


Entry 2:
Density functional theory data (GGA-PBE) for a relaxed structure of Zr2SnPSe.

```
Zr2SnPSe
1.0
5.017 0.000 0.000
0.000 5.017 0.000
0.000 0.000 4.701
Zr Sn P Se
2 1 1 1
direct
0.000 0.500 0.000
0.500 0.000 0.000
0.000 0.000 0.500
0.500 0.500 0.000
0.500 0.500 0.500
```

Calculated values
formation energy without anion corrections = -0.4 eV/f.u.
E_tot = -6.077 eV/atom
M_tot = 0.00 μB per formula unit
crystal system = tetragonal


Entry 3:
Density functional theory data (GGA-PBE) for a relaxed structure of Sc3InPb.

```
Sc3InPb
1.0
7.688 -2.963 0.000
7.688 2.963 0.000
-1.353 0.000 10.465
Sc In Pb
12 4 4
direct
0.073 0.121 0.760
0.121 0.073 0.260
0.199 0.708 0.993
0.280 0.322 0.748
0.292 0.801 0.507
0.322 0.280 0.248
0.678 0.720 0.752
0.708 0.199 0.493
0.720 0.678 0.252
0.801 0.292 0.007
0.879 0.927 0.740
0.927 0.879 0.240
0.076 0.618 0.484
0.382 0.924 0.016
0.618 0.076 0.984
0.924 0.382 0.516
0.000 0.500 0.000
0.486 0.514 0.750
0.500 0.000 0.500
0.514 0.486 0.250
```

Calculated values
E_tot = -5.362 eV/atom
M_tot = 0.00 μB per formula unit
energy relative to the lowest polymorph listed for this composition = 0.00 eV per formula unit
crystal system = monoclinic